The following is a PBE calculation of crystalline Ag3OsBr at its relaxed geometry, from Alexandria.

abc: 5.044 5.044 5.044
angles: 90.00 90.00 90.00
Sites, in units of the cell vectors:
Ag  0.000  0.000  0.500
Ag  0.000  0.500  0.000
Ag  0.500  0.000  0.000
Os  0.500  0.500  0.500
Br  0.000  0.000  0.000

Output
M_tot = 2.432 μB/f.u.
relative energy among the computed polymorphs = 0.415 eV/atom
space-group type = No. 221
ΔE_f (raw) = 1.739 eV/atom
DFT total energy = -2.552 eV per atom
Fermi-level density of states = 5.3 states/eV/f.u.